No. 1
Compound: TlCoAs2
Source: Alexandria via LeMat-Bulk
Functional: GGA-PBE
Structure: optimized geometry

abc: 4.7682 4.7682 3.6479
angles: 90.96 90.96 110.80
Closest atoms and distances in Å follow each position.
Sites, in units of the cell vectors:
Tl 0.0000 0.0000 0.0000  2 Co 2.71, 8 As 2.98-3.03
Co 0.5000 0.5000 0.0000  2 Tl 2.71, 8 As 2.98-3.03
As 0.0000 0.5000 0.5000  2 As 2.71, 4 Tl 2.98-3.03, 4 Co 2.98-3.03
As 0.5000 0.0000 0.5000  2 As 2.71, 4 Tl 2.98-3.03, 4 Co 2.98-3.03

- ΔE to the lowest computed polymorph (eV/atom) = 0.618
- space-group type = C2/m (12)

No. 2
Compound: Tl2CoAs
Source: Alexandria via LeMat-Bulk
Functional: GGA-PBE
Structure: optimized geometry

abc: 3.1966 3.1966 8.7246
angles: 90.00 90.00 90.00
Closest atoms and distances in Å follow each position.
Sites, in units of the cell vectors:
Tl 0.0000 0.0000 0.0000  1 As 3.11, 4 Tl 3.20, 4 Co 3.21
Tl 0.5000 0.5000 0.3599  4 Tl 3.20, 1 Co 3.30, 4 As 3.35
Co 0.5000 0.5000 0.7382  4 As 2.41
As 0.0000 0.0000 0.6430  4 Co 2.41

- ΔE to the lowest computed polymorph (eV/atom) = 0.000
- space-group type = P4mm (99)

No. 3
Compound: TlCoAs3
Source: Alexandria via LeMat-Bulk
Functional: GGA-PBE
Structure: optimized geometry

abc: 4.7141 4.7141 4.7141
angles: 90.00 90.00 90.00
Closest atoms and distances in Å follow each position.
Sites, in units of the cell vectors:
Tl 0.0000 0.0000 0.0000  12 As 3.33
Co 0.5000 0.5000 0.5000  6 As 2.36
As 0.0000 0.5000 0.5000  2 Co 2.36
As 0.5000 0.0000 0.5000  2 Co 2.36
As 0.5000 0.5000 0.0000  2 Co 2.36

- ΔE to the lowest computed polymorph (eV/atom) = 0.000
- space-group type = Pm-3m (221)

No. 4
Compound: Tl2CoAs
Source: Alexandria via LeMat-Bulk
Functional: GGA-PBE
Structure: optimized geometry

abc: 9.1694 9.1694 9.1694
angles: 20.78 20.78 20.78
Closest atoms and distances in Å follow each position.
Sites, in units of the cell vectors:
Tl 0.2390 0.2390 0.2390  3 Co 2.73
Tl 0.7610 0.7610 0.7610  3 Co 2.73
Co 0.5000 0.5000 0.5000  6 Tl 2.73
As 0.0000 0.0000 0.0000  6 Tl 3.18, 6 As 3.31

- ΔE to the lowest computed polymorph (eV/atom) = 0.462
- space-group type = R-3m (166)

No. 5
Compound: Tl2CoAs
Source: Alexandria via LeMat-Bulk
Functional: GGA-PBE
Structure: optimized geometry

abc: 4.9835 4.9835 4.9835
angles: 60.00 60.00 60.00
Closest atoms and distances in Å follow each position.
Sites, in units of the cell vectors:
Tl 0.2500 0.2500 0.2500  4 As 3.05, 4 Co 3.05
Tl 0.7500 0.7500 0.7500  4 As 3.05, 4 Co 3.05
Co 0.0000 0.0000 0.0000  8 Tl 3.05
As 0.5000 0.5000 0.5000  8 Tl 3.05

- ΔE to the lowest computed polymorph (eV/atom) = 0.545
- space-group type = Fm-3m (225)

No. 6
Compound: TlCoAs
Source: Alexandria via LeMat-Bulk
Functional: GGA-PBE
Structure: optimized geometry

abc: 3.9797 3.9797 8.1819
angles: 90.00 90.00 90.00
Closest atoms and distances in Å follow each position.
Sites, in units of the cell vectors:
Tl 0.2500 0.2500 0.1638  4 As 3.20, 4 Co 3.40
Tl 0.7500 0.7500 0.8362  4 As 3.20, 4 Co 3.40
Co 0.2500 0.7500 0.5000  4 As 2.34
Co 0.7500 0.2500 0.5000  4 As 2.34
As 0.2500 0.2500 0.6496  4 Co 2.34
As 0.7500 0.7500 0.3504  4 Co 2.34

- ΔE to the lowest computed polymorph (eV/atom) = 0.000
- space-group type = P4/nmm (129)

No. 7
Compound: TlCoAs2
Source: Alexandria via LeMat-Bulk
Functional: GGA-PBE
Structure: optimized geometry

abc: 4.1396 4.1396 5.7653
angles: 90.00 90.00 90.00
Closest atoms and distances in Å follow each position.
Sites, in units of the cell vectors:
Tl 0.0000 0.0000 0.0000  4 As 2.90
Co 0.5000 0.5000 0.5000  4 As 2.24
As 0.0000 0.5000 0.6487  2 Co 2.24
As 0.5000 0.0000 0.3513  2 Co 2.24

- ΔE to the lowest computed polymorph (eV/atom) = 0.162
- space-group type = P-4m2 (115)

No. 8
Compound: Tl2CoAs
Source: Alexandria via LeMat-Bulk
Functional: GGA-PBE
Structure: optimized geometry

abc: 5.1677 5.1677 6.2668
angles: 112.85 112.85 36.14
Closest atoms and distances in Å follow each position.
Sites, in units of the cell vectors:
Tl 0.0000 0.0000 0.0000  2 Co 2.90, 1 As 2.95, 2 Tl 3.21
Tl 0.1698 0.1698 0.6339  3 Co 2.65-2.80
Co 0.4241 0.4241 0.5818  2 As 2.29
As 0.8317 0.8317 0.2971  2 Co 2.29

- ΔE to the lowest computed polymorph (eV/atom) = 0.064
- space-group type = Cm (8)